The following is a DFT calculation (PBE+U) of an optimized crystal structure of Rb2CoClF6.

abc: 6.1433 6.1433 6.4724
angles: 61.67 61.67 90.00
Last column: magnetic moment on the atom in μB.
Sites, in units of the cell vectors:
F  0.2117  0.7883  0.0000  -0.07
Rb  0.2500  0.7500  0.5000  0.00
F  0.1922  0.1922  0.6157  -0.05
F  0.7883  0.2117  0.0000  -0.07
Cl  0.5000  0.5000  0.0000  -0.78
F  0.8078  0.8078  0.3843  -0.05
Rb  0.7500  0.2500  0.5000  0.00
Co  0.0000  0.0000  0.0000  1.32
F  0.2117  0.2117  0.0000  -0.06
F  0.7883  0.7883  0.0000  -0.06

Values from the calculation:
- DOS(E_F): 1.597 states/eV/cell
- Electronic total energy: -3.892 eV/atom